The following is a GGA+U calculation of NiP2HO6 after structural relaxation, from Alexandria via LeMat-Bulk.

Calculated values
The calculation puts the final energy at -6.27 eV per atom.

Geometry as CIF:
```
data_NiP2HO6
_cell_length_a 10.831
_cell_length_b 10.174
_cell_length_c 4.764
_cell_angle_alpha 90.00
_cell_angle_beta 109.65
_cell_angle_gamma 90.00
_space_group_name_H-M_alt 'C 1 2/c 1'
_space_group_IT_number 15
loop_
_space_group_symop_operation_xyz
'x,y,z'
'-x,-y,-z'
'-x,y,-z+1/2'
'x,-y,z+1/2'
'x+1/2,y+1/2,z'
'-x+1/2,-y+1/2,-z'
'-x+1/2,y+1/2,-z+1/2'
'x+1/2,-y+1/2,z+1/2'
loop_
_atom_site_label
_atom_site_fract_x
_atom_site_fract_y
_atom_site_fract_z
Ni1 0.000 0.151 0.250
P1 0.187 0.410 0.664
H1 0.000 0.309 0.750
O1 0.085 0.304 0.640
O2 0.149 0.465 0.328
O3 0.173 0.125 0.204
```